[1]
Material: Tl2Ga
Method: DFT, PBE
State: optimized geometry

Output
ΔE to the lowest computed polymorph: 3.9 kJ per mole of atoms
SG: No. 12
Formation enthalpy at 0 K: 0.1149 eV/atom

Cell: 4.785 4.785 5.158 Å, 117.10 117.10 61.71°
Fractional positions:
Tl 0.244 0.244 0.222
Tl 0.756 0.756 0.778
Ga 0.000 0.000 0.500

[2]
Material: RbReSe2
Method: DFT, PBE
State: optimized geometry

Output
ΔE to the lowest computed polymorph: 84.0 kJ per mole of atoms
SG: No. 225
E_form (uncorrected): 646 meV per atom

Cell: 4.846 4.846 4.846 Å, 60.00 60.00 60.00°
Fractional positions:
Rb 0.000 0.000 0.000
Re 0.500 0.500 0.500
Se 0.250 0.250 0.250
Se 0.750 0.750 0.750

[3]
Material: AlSiAs2
Method: DFT, PBE
State: optimized geometry

Output
ΔE to the lowest computed polymorph: 40.9 kJ per mole of atoms
SG: No. 216
E_form (uncorrected): 376 meV per atom

Cell: 4.658 4.658 4.658 Å, 60.00 60.00 60.00°
Fractional positions:
Al 0.000 0.000 0.000
Si 0.750 0.750 0.750
As 0.250 0.250 0.250
As 0.500 0.500 0.500

[4]
Material: Sr2Cu2P
Method: DFT, PBE
State: optimized geometry

Output
ΔE to the lowest computed polymorph: 35.9 kJ per mole of atoms
SG: No. 127
Formation enthalpy at 0 K: 0.0805 eV/atom

Cell: 8.330 8.330 3.950 Å, 90.00 90.00 90.00°
Fractional positions:
Sr 0.185 0.315 0.000
Sr 0.315 0.815 0.000
Sr 0.685 0.185 0.000
Sr 0.815 0.685 0.000
Cu 0.103 0.603 0.500
Cu 0.397 0.103 0.500
Cu 0.603 0.897 0.500
Cu 0.897 0.397 0.500
P 0.000 0.000 0.000
P 0.500 0.500 0.000

[5]
Material: Pd8Pt3
Method: DFT, PBE
State: optimized geometry

Output
ΔE to the lowest computed polymorph: 35.6 kJ per mole of atoms
SG: No. 148
Formation enthalpy at 0 K: 0.4762 eV/atom

Cell: 5.844 5.844 5.844 Å, 93.24 93.24 93.24°
Fractional positions:
Pd 0.141 0.141 0.141
Pd 0.185 0.408 0.584
Pd 0.408 0.584 0.185
Pd 0.416 0.815 0.592
Pd 0.584 0.185 0.408
Pd 0.592 0.416 0.815
Pd 0.815 0.592 0.416
Pd 0.859 0.859 0.859
Pt 0.000 0.000 0.500
Pt 0.000 0.500 0.000
Pt 0.500 0.000 0.000

[6]
Material: Ba2Li3ZrF12
Method: DFT, PBE
State: optimized geometry

Output
SG: No. 166
E_form (uncorrected): -3141 meV per atom

Cell: 7.913 7.913 7.913 Å, 49.12 49.12 49.12°
Fractional positions:
Ba 0.103 0.103 0.103
Ba 0.897 0.897 0.897
Li 0.000 0.500 0.500
Li 0.500 0.000 0.500
Li 0.500 0.500 0.000
Zr 0.500 0.500 0.500
F 0.124 0.629 0.629
F 0.223 0.223 0.652
F 0.223 0.652 0.223
F 0.348 0.777 0.777
F 0.371 0.371 0.876
F 0.371 0.876 0.371
F 0.629 0.124 0.629
F 0.629 0.629 0.124
F 0.652 0.223 0.223
F 0.777 0.348 0.777
F 0.777 0.777 0.348
F 0.876 0.371 0.371

[7]
Material: CdCu2Ni2
Method: DFT, PBE
State: optimized geometry

Output
ΔE to the lowest computed polymorph: 11.9 kJ per mole of atoms
SG: No. 139
Formation enthalpy at 0 K: 0.2476 eV/atom

Cell: 6.354 6.354 6.354 Å, 148.36 148.36 45.36°
Fractional positions:
Cd 0.000 0.000 0.000
Cu 0.395 0.395 0.000
Cu 0.605 0.605 0.000
Ni 0.250 0.750 0.500
Ni 0.750 0.250 0.500

[8]
Material: CdIr2Pd2
Method: DFT, PBE
State: optimized geometry

Output
SG: No. 127
Formation enthalpy at 0 K: 0.2661 eV/atom

Cell: 7.708 7.708 2.821 Å, 90.00 90.00 90.00°
Fractional positions:
Cd 0.000 0.000 0.000
Cd 0.500 0.500 0.000
Ir 0.119 0.381 0.000
Ir 0.381 0.881 0.000
Ir 0.619 0.119 0.000
Ir 0.881 0.619 0.000
Pd 0.180 0.680 0.500
Pd 0.320 0.180 0.500
Pd 0.680 0.820 0.500
Pd 0.820 0.320 0.500

no.,density of states at the Fermi level (states/eV per atom)
1,0.50
2,0.00
3,0.20
4,0.96
5,1.15
6,0.51
7,0.83
8,1.44